Entry 1:
## CaPr2PdO5 (PBE-GGA)

Data for a geometry-optimized CaPr2PdO5 structure.

Computed properties:
DFT total energy (eV per atom): -7.08
Formation energy without anion corrections (kJ per mole of atoms): -237
Magnetic moment (μB/f.u.): 0.00
Mass density (g cm⁻³): 6.27
V (Å³/atom): 14.9

Geometry as POSCAR:
```
CaPr2PdO5
1.0
-2.3915 5.3667 0.0630
-5.9837 -2.6461 -1.7293
-1.5511 -0.7680 6.5423
O Pd Pr Ca
10 2 4 2
Cartesian
-3.6876 3.1775 4.0230
-5.7734 -1.0601 4.4828
-6.2388 -1.2249 0.8530
-7.0011 1.6951 4.5151
-4.9632 0.9763 2.4380
-7.4665 1.5304 0.8853
-2.9252 0.2575 0.3608
-4.1530 3.0127 0.3932
-1.1957 2.6834 0.0315
-2.4598 0.4223 3.9906
-2.9919 -1.3231 -0.8647
-0.7756 -0.3840 3.2712
-4.4431 1.1794 4.8815
-7.1928 -0.0238 2.9956
-2.7335 1.9764 1.8803
-5.4832 0.7732 -0.0056
0.0000 0.0000 0.0000
-3.7674 -1.7070 2.4065
```

=====

Entry 2:
## CaPdPtO4 (PBE-GGA)

Data for a geometry-optimized CaPdPtO4 structure.

Computed properties:
DFT total energy (eV per atom): -5.88
Formation energy without anion corrections (kJ per mole of atoms): -112
Magnetic moment (μB/f.u.): 0.00
Mass density (g cm⁻³): 6.87
V (Å³/atom): 14.0

Geometry as POSCAR:
```
CaPdPtO4
1.0
-0.1607 0.9482 -6.0915
5.7787 -2.1248 2.6385
-4.7258 -4.1420 -0.5201
O Pt Ca Pd
8 2 2 2
Cartesian
1.7773 -2.4125 -0.4224
-0.8852 -2.9061 -3.5507
-0.1546 -4.1058 -0.6351
1.0467 -1.2128 -3.3381
-3.3268 -3.1219 -2.2444
-3.3925 -2.7344 -4.7334
4.2189 -2.1967 -1.7288
4.2846 -2.5842 0.7602
-2.4433 -1.5969 -3.3058
-0.0804 0.4741 -3.0458
-2.4451 -4.3331 -0.6100
3.3372 -0.9855 -3.3631
0.5264 -3.1334 1.0592
0.4461 -2.6593 -1.9866
```

=====

Entry 3:
## Ca2PuPdO6 (PBE-GGA)

Data for a geometry-optimized Ca2PuPdO6 structure.

Computed properties:
DFT total energy (eV per atom): -7.70
Formation energy without anion corrections (kJ per mole of atoms): -229
Magnetic moment (μB/f.u.): 2.00
Mass density (g cm⁻³): 5.99
V (Å³/atom): 14.6

Geometry as POSCAR:
```
Ca2PuPdO6
1.0
-1.1298 2.1627 4.7109
2.4950 -4.3083 2.5762
3.5776 3.5020 -3.7069
O Pu Ca Pd
6 1 2 1
Cartesian
2.3424 2.3265 1.6222
2.6004 -0.9701 1.9580
1.7955 -1.2466 5.4144
3.1473 2.6030 -1.8342
0.5112 0.9711 4.0884
4.4316 0.3853 -0.5081
1.2475 -2.1542 1.2881
2.7797 0.2725 3.8624
2.1631 1.0839 -0.2822
-0.5649 1.0813 2.3555
```

=====

Entry 4:
## Rb2CaPdO4 (PBE-GGA)

Data for a geometry-optimized Rb2CaPdO4 structure.

Computed properties:
DFT total energy (eV per atom): -4.74
Formation energy without anion corrections (kJ per mole of atoms): -108
Magnetic moment (μB/f.u.): 2.02
Mass density (g cm⁻³): 2.70
V (Å³/atom): 29.3

Geometry as POSCAR:
```
Rb2CaPdO4
1.0
-1.2998 3.4465 4.8517
-7.3502 1.5230 0.7730
-1.9017 -7.4581 8.6126
Ca Rb Pd O
2 4 2 8
Cartesian
0.0000 0.0000 0.0000
-5.6009 -0.3827 8.3315
-1.7782 -0.0622 7.2160
-6.0792 -3.8914 10.6958
-1.4233 -3.9494 6.2483
-5.1225 3.1260 5.9673
-4.9509 -2.1059 5.9057
-0.6499 1.7232 2.4259
-6.4077 2.2138 2.6459
-7.3430 0.2279 9.5422
-2.3243 2.1544 3.3840
-8.8097 -3.0991 13.0266
-3.9408 -1.5946 7.5261
-6.5434 -1.0735 6.4586
-3.2765 -2.5370 4.9476
-3.5618 -6.2462 9.4181
```

=====

Entry 5:
## CaPdRhO4 (PBE-GGA)

Data for a geometry-optimized CaPdRhO4 structure.

Computed properties:
DFT total energy (eV per atom): -6.13
Formation energy without anion corrections (kJ per mole of atoms): -118
Magnetic moment (μB/f.u.): 0.65
Mass density (g cm⁻³): 5.41
V (Å³/atom): 13.7

Geometry as POSCAR:
```
CaPdRhO4
1.0
6.0481 0.0000 0.0000
-3.0241 6.0181 0.0624
0.0000 -3.1937 5.2521
O Rh Pd Ca
8 2 2 2
Cartesian
3.0241 1.6565 1.2532
0.0000 2.5464 1.7943
0.0000 1.1679 4.0613
1.7559 -2.1930 4.0621
-1.2682 5.0174 1.2524
4.2923 -2.1930 4.0621
1.2682 5.0174 1.2524
3.0241 0.2780 3.5202
3.0241 -1.5969 2.6261
3.0241 0.0000 0.0000
-1.5120 1.4122 2.6572
1.5120 1.4122 2.6572
0.0000 -1.0356 4.7659
3.0241 3.8599 0.5486
```

=====

Entry 6:
## CaScPdO4 (PBE-GGA)

Data for a geometry-optimized CaScPdO4 structure.

Computed properties:
DFT total energy (eV per atom): -6.99
Formation energy without anion corrections (kJ per mole of atoms): -215
Magnetic moment (μB/f.u.): 0.00
Mass density (g cm⁻³): 4.67
V (Å³/atom): 13.0

Geometry as POSCAR:
```
CaScPdO4
1.0
7.2084 0.0000 0.0000
-3.6042 4.9769 -0.8393
0.0000 -3.4322 5.6443
O Sc Pd Ca
8 2 2 2
Cartesian
-1.3677 4.0387 0.5230
0.0000 1.2713 1.1895
2.2365 -2.4939 4.2820
0.0000 -0.0751 3.4036
1.3677 4.0387 0.5230
3.6042 1.6198 1.4014
4.9719 -2.4939 4.2820
3.6042 0.2735 3.6155
3.6042 -1.7161 2.8222
3.6042 0.0000 0.0000
1.8021 0.7724 2.4025
-1.8021 0.7724 2.4025
3.6042 3.6304 0.2747
0.0000 -2.0856 4.5303
```

=====

Entry 7:
## CaPdSe2O8 (PBE-GGA)

Data for a geometry-optimized CaPdSe2O8 structure.

Computed properties:
DFT total energy (eV per atom): -5.42
Formation energy without anion corrections (kJ per mole of atoms): -90
Magnetic moment (μB/f.u.): 2.00
Mass density (g cm⁻³): 3.87
V (Å³/atom): 15.4

Geometry as POSCAR:
```
CaPdSe2O8
1.0
-3.2863 4.2909 1.1261
-1.0533 -4.9420 2.2240
4.0187 1.6286 5.5221
O Pd Se Ca
8 1 2 1
Cartesian
0.0309 0.0165 6.9036
-0.3518 0.9609 1.9686
-2.0216 3.1412 2.5408
1.7007 -2.1638 6.3314
2.2359 0.3474 5.2014
-0.4222 2.0723 4.4048
0.1014 -1.0948 4.4675
-2.5568 0.6301 3.6709
0.0000 0.0000 0.0000
-1.3693 1.6885 3.1034
1.0484 -0.7110 5.7688
2.0093 0.8143 2.7611
```

=====

Entry 8:
## CaPdSeO6 (PBE-GGA)

Data for a geometry-optimized CaPdSeO6 structure.

Computed properties:
DFT total energy (eV per atom): -5.65
Formation energy without anion corrections (kJ per mole of atoms): -112
Magnetic moment (μB/f.u.): 0.00
Mass density (g cm⁻³): 4.71
V (Å³/atom): 12.6

Geometry as POSCAR:
```
CaPdSeO6
1.0
5.0787 0.0000 0.0000
2.5394 4.3983 0.0001
0.0001 -0.0001 5.0749
O Se Ca Pd
6 1 1 1
Cartesian
1.0397 1.5625 1.4823
4.0389 1.5624 3.5926
3.3726 2.7165 1.4823
1.8730 0.1191 3.5926
3.2055 0.1191 1.4823
1.7060 2.7165 3.5926
2.5393 1.4660 2.5374
5.0786 -0.0001 5.0748
5.0786 2.9321 2.5373
```

=====

Entry 9:
## CaSiPdO4 (PBE-GGA)

Data for a geometry-optimized CaSiPdO4 structure.

Computed properties:
DFT total energy (eV per atom): -6.69
Formation energy without anion corrections (kJ per mole of atoms): -198
Magnetic moment (μB/f.u.): 0.00
Mass density (g cm⁻³): 4.46
V (Å³/atom): 12.7

Geometry as POSCAR:
```
CaSiPdO4
1.0
5.3461 0.0363 0.0000
-2.1142 4.9104 0.0000
0.0000 0.0000 6.7469
O Si Ca Pd
8 2 2 2
Cartesian
3.5593 1.2038 3.7214
0.8991 1.0140 1.6867
-0.3273 3.7430 3.0256
2.6645 3.7161 1.6867
0.5675 1.2306 5.0602
-0.3273 3.7430 0.3479
3.5593 1.2038 6.3990
2.3329 3.9328 5.0602
-1.1284 4.2664 1.6867
4.3603 0.6804 5.0602
1.6160 2.4734 0.0000
1.6160 2.4734 3.3735
-0.6064 3.9253 5.0602
3.8383 1.0214 1.6867
```

=====

Entry 10:
## CaSm2PdO5 (PBE-GGA)

Data for a geometry-optimized CaSm2PdO5 structure.

Computed properties:
DFT total energy (eV per atom): -7.14
Formation energy without anion corrections (kJ per mole of atoms): -245
Magnetic moment (μB/f.u.): 0.00
Mass density (g cm⁻³): 6.84
V (Å³/atom): 14.2

Geometry as POSCAR:
```
CaSm2PdO5
1.0
-5.5648 0.4246 -1.7345
-1.3771 -5.7307 3.0152
-1.4818 3.2797 5.5567
Sm Pd O Ca
4 2 10 2
Cartesian
-4.4607 1.0484 4.7218
-4.9184 -2.3280 5.3636
-3.5053 0.3015 1.4737
-3.9629 -3.0749 2.1155
-0.6885 -2.8653 1.5076
-0.7409 1.6398 2.7783
-4.2118 -1.0132 3.4187
-3.5334 -0.8021 6.2618
-4.8902 -1.2244 0.5755
-2.5387 1.3855 3.6059
-3.0771 -3.6262 4.1066
-5.3465 1.5997 2.7307
-2.0824 -1.4386 1.4507
-5.8850 -3.4120 3.2314
-6.3413 -0.5878 5.3866
-2.7824 0.2123 -0.8673
-1.4294 -1.2255 4.2859
0.0000 0.0000 0.0000
```

=====

Entry 11:
## CaSnPd2O (PBE-GGA)

Data for a geometry-optimized CaSnPd2O structure.

Computed properties:
DFT total energy (eV per atom): -3.79
Formation energy without anion corrections (kJ per mole of atoms): 47
Magnetic moment (μB/f.u.): 0.00
Mass density (g cm⁻³): 4.35
V (Å³/atom): 29.6

Geometry as POSCAR:
```
CaSnPd2O
1.0
4.8343 0.0000 0.0000
0.0000 6.3352 0.0000
0.0000 0.0000 4.8343
Sn O Ca Pd
1 1 1 2
Cartesian
0.0000 0.0000 0.0000
2.4172 3.1676 2.4172
0.0000 3.1676 0.0000
2.4172 0.0000 0.0000
0.0000 0.0000 2.4172
```

=====

Entry 12:
## CaSnPdO4 (PBE-GGA)

Data for a geometry-optimized CaSnPdO4 structure.

Computed properties:
DFT total energy (eV per atom): -6.06
Formation energy without anion corrections (kJ per mole of atoms): -157
Magnetic moment (μB/f.u.): 0.00
Mass density (g cm⁻³): 5.36
V (Å³/atom): 14.6

Geometry as POSCAR:
```
CaSnPdO4
1.0
-4.0761 4.6107 -0.1136
-1.0989 -5.1888 -4.4140
-1.3724 -1.0665 5.9563
Sn O Ca Pd
2 8 2 2
Cartesian
-2.0381 2.3053 -0.0568
-2.7243 1.7721 2.9213
-3.6382 0.8811 -0.4471
-4.1535 2.3644 4.3140
-4.2253 0.4249 2.1008
-2.3940 -4.0090 -2.8853
-2.9092 -2.5257 1.8758
-2.3222 -2.0695 -0.6722
-2.3463 0.3203 4.3643
-4.2011 -1.9649 -2.9357
-4.3309 0.2163 -2.5750
-2.2166 -1.8609 4.0037
-1.2357 -3.1277 0.7711
-3.2737 -0.8223 0.7143
```